Entry 1:
Compound: Pm5PrNd2Y
Source: the Alexandria database
Functional: PBE-GGA
Structure: optimized geometry

The structure in POSCAR format:
```
Pm5PrNd2Y
1.0
-4.456 4.456 7.939
4.456 -4.456 7.939
4.456 4.456 -7.939
Pm Pr Nd Y
10 2 4 2
direct
0.000 0.000 0.000 Pm
0.073 0.573 0.921 Pm
0.151 0.073 0.500 Pm
0.349 0.849 0.921 Pm
0.427 0.349 0.500 Pm
0.500 0.500 0.000 Pm
0.573 0.651 0.500 Pm
0.651 0.151 0.079 Pm
0.849 0.927 0.500 Pm
0.927 0.427 0.079 Pm
0.250 0.250 0.000 Pr
0.750 0.750 0.000 Pr
0.117 0.383 0.500 Nd
0.383 0.883 0.266 Nd
0.617 0.117 0.734 Nd
0.883 0.617 0.500 Nd
0.250 0.750 0.500 Y
0.750 0.250 0.500 Y
```

- Crystal system: tetragonal
- Formation enthalpy at 0 K: 0.264 eV per atom


Entry 2:
Compound: Cr2ReAgN
Source: the Alexandria database
Functional: PBE-GGA
Structure: optimized geometry

The structure in POSCAR format:
```
Cr2ReAgN
1.0
4.712 0.000 0.000
0.000 4.712 0.000
0.000 0.000 3.603
Cr Re Ag N
2 1 1 1
direct
0.000 0.500 0.000 Cr
0.500 0.000 0.000 Cr
0.000 0.000 0.500 Re
0.500 0.500 0.000 Ag
0.500 0.500 0.500 N
```

- Formation energy without anion corrections: 2.68 eV per atom
- Crystal system: tetragonal


Entry 3:
Compound: SrIn6Hg4
Source: the Alexandria database
Functional: PBE-GGA
Structure: optimized geometry

The structure in POSCAR format:
```
SrIn6Hg4
1.0
8.900 0.000 0.000
-4.450 7.707 0.000
0.000 0.000 4.473
Sr In Hg
1 6 4
direct
0.000 0.000 0.000 Sr
0.201 0.401 0.500 In
0.201 0.799 0.500 In
0.536 0.072 0.000 In
0.536 0.464 0.000 In
0.599 0.799 0.500 In
0.928 0.464 0.000 In
0.333 0.667 0.000 Hg
0.367 0.183 0.500 Hg
0.817 0.183 0.500 Hg
0.817 0.633 0.500 Hg
```

- Crystal system: hexagonal
- Formation enthalpy at 0 K: -0.109 eV per atom
- ΔE to the lowest computed polymorph: 0.000 eV per atom


Values of E, in order: -84.307 -29.470 -20.519, all in eV per cell.